*one*
! Ta2IrCl, relaxed, DFT PBE; values from VASP
&SYSTEM
  ibrav = 0, nat = 4, ntyp = 3
/
ATOMIC_SPECIES
Ta 180.95 Ta.upf
Ir 192.22 Ir.upf
Cl 35.45 Cl.upf
CELL_PARAMETERS angstrom
-1.8653 1.8653 4.9267
1.8653 -1.8653 4.9267
1.8653 1.8653 -4.9267
ATOMIC_POSITIONS angstrom
Ta 0.0000 0.0000 0.0000
Ta 0.0000 1.8653 2.4634
Ir 0.0000 0.0000 4.9267
Cl 1.8653 0.0000 2.4634
! SG   I-4m2

***

*two*
! Ta2IrCl, relaxed, DFT PBE; values from VASP
&SYSTEM
  ibrav = 0, nat = 4, ntyp = 3
/
ATOMIC_SPECIES
Ta 180.95 Ta.upf
Ir 192.22 Ir.upf
Cl 35.45 Cl.upf
CELL_PARAMETERS angstrom
0.0000 3.2175 3.2175
3.2175 0.0000 3.2175
3.2175 3.2175 0.0000
ATOMIC_POSITIONS angstrom
Ta 1.6088 1.6088 1.6088
Ta 4.8263 4.8263 4.8263
Ir 0.0000 0.0000 0.0000
Cl 3.2175 3.2175 3.2175
! SG   Fm-3m

***

*three*
! Ta2IrCl, relaxed, DFT PBE; values from VASP
&SYSTEM
  ibrav = 0, nat = 4, ntyp = 3
/
ATOMIC_SPECIES
Ta 180.95 Ta.upf
Ir 192.22 Ir.upf
Cl 35.45 Cl.upf
CELL_PARAMETERS angstrom
2.9427 0.0000 0.0000
0.0000 2.9427 0.0000
0.0000 0.0000 7.2363
ATOMIC_POSITIONS angstrom
Ta 0.0000 0.0000 1.7437
Ta 0.0000 0.0000 5.4926
Ir 1.4713 1.4713 3.6181
Cl 1.4713 1.4713 0.0000
! SG   P4/mmm

***

*four*
! Ta2IrCl, relaxed, DFT PBE; values from VASP
&SYSTEM
  ibrav = 0, nat = 4, ntyp = 3
/
ATOMIC_SPECIES
Ta 180.95 Ta.upf
Ir 192.22 Ir.upf
Cl 35.45 Cl.upf
CELL_PARAMETERS angstrom
5.4642 -1.4663 0.0000
5.4642 1.4663 0.0000
-1.1112 0.0000 4.3570
ATOMIC_POSITIONS angstrom
Ta 0.0000 0.0000 0.0000
Ta 7.4090 0.0000 1.7368
Ir 4.2118 0.0000 1.9691
Cl 1.2265 0.0000 3.6112
! SG   Cm

***

Most favorable structure: *three*. The second most favorable one is 13.0 kJ/mol of atoms above it.

***

*one*
! Ta2IrCl, relaxed, DFT PBE; values from VASP
&SYSTEM
  ibrav = 0, nat = 4, ntyp = 3
/
ATOMIC_SPECIES
Ta 180.95 Ta.upf
Ir 192.22 Ir.upf
Cl 35.45 Cl.upf
CELL_PARAMETERS angstrom
3.1011 0.0000 0.0000
0.0000 4.2070 0.0000
0.0000 0.0000 5.3799
ATOMIC_POSITIONS angstrom
Ta 0.0000 0.0000 0.0000
Ta 1.5505 0.0000 2.6899
Ir 0.0000 2.1035 2.6899
Cl 1.5505 2.1035 0.0000
! SG   Pmmm

***

*two*
! Ta2IrCl, relaxed, DFT PBE; values from VASP
&SYSTEM
  ibrav = 0, nat = 4, ntyp = 3
/
ATOMIC_SPECIES
Ta 180.95 Ta.upf
Ir 192.22 Ir.upf
Cl 35.45 Cl.upf
CELL_PARAMETERS angstrom
4.0012 -1.4412 0.0000
4.0012 1.4412 0.0000
-0.9365 0.0000 5.9562
ATOMIC_POSITIONS angstrom
Ta 1.7463 0.0000 1.5133
Ta 5.3197 0.0000 4.4428
Ir -0.4683 0.0000 2.9781
Cl 4.0012 0.0000 0.0000
! SG   C2/m

***

*three*
! Ta2IrCl, relaxed, DFT PBE; values from VASP
&SYSTEM
  ibrav = 0, nat = 4, ntyp = 3
/
ATOMIC_SPECIES
Ta 180.95 Ta.upf
Ir 192.22 Ir.upf
Cl 35.45 Cl.upf
CELL_PARAMETERS angstrom
1.4619 0.8440 8.8737
-1.4619 0.8440 8.8737
0.0000 -1.6881 8.8737
ATOMIC_POSITIONS angstrom
Ta 0.0000 0.0000 6.6333
Ta 0.0000 0.0000 19.9878
Ir 0.0000 0.0000 0.0000
Cl 0.0000 0.0000 13.3105
! SG   R-3m

***

Most favorable structure: *three*. The second most favorable one is 16.3 kJ/mol of atoms above it.

***

*one*
! TaIrCl2, relaxed, DFT PBE; values from VASP
&SYSTEM
  ibrav = 0, nat = 4, ntyp = 3
/
ATOMIC_SPECIES
Ta 180.95 Ta.upf
Ir 192.22 Ir.upf
Cl 35.45 Cl.upf
CELL_PARAMETERS angstrom
2.8996 0.0000 0.0000
0.0000 2.8996 0.0000
0.0000 0.0000 9.3375
ATOMIC_POSITIONS angstrom
Ta 0.0000 0.0000 0.0000
Ir 0.0000 0.0000 4.6688
Cl 1.4498 1.4498 1.5787
Cl 1.4498 1.4498 7.7588
! SG   P4/mmm

***

*two*
! TaIrCl2, relaxed, DFT PBE; values from VASP
&SYSTEM
  ibrav = 0, nat = 4, ntyp = 3
/
ATOMIC_SPECIES
Ta 180.95 Ta.upf
Ir 192.22 Ir.upf
Cl 35.45 Cl.upf
CELL_PARAMETERS angstrom
-1.5044 2.2402 7.3099
1.5044 -2.2402 7.3099
1.5044 2.2402 -7.3099
ATOMIC_POSITIONS angstrom
Ta 0.0000 0.0000 0.0000
Ir 0.0000 0.0000 7.3099
Cl 1.5044 0.0000 2.0527
Cl 0.0000 2.2402 5.2572
! SG   Immm

***

*three*
! TaIrCl2, relaxed, DFT PBE; values from VASP
&SYSTEM
  ibrav = 0, nat = 4, ntyp = 3
/
ATOMIC_SPECIES
Ta 180.95 Ta.upf
Ir 192.22 Ir.upf
Cl 35.45 Cl.upf
CELL_PARAMETERS angstrom
3.5254 0.0000 0.0000
0.0000 3.2070 0.0000
-1.6796 0.0000 8.0991
ATOMIC_POSITIONS angstrom
Ta 0.0000 0.0000 0.0000
Ir 1.7626 1.6035 1.1292
Cl 0.0011 0.0000 2.6686
Cl 1.8467 1.6035 6.1564
! SG   Pm

***

Most favorable structure: *three*. The second most favorable one is 38.9 kJ/mol of atoms above it.

***

*one*
! TaIrCl2, relaxed, DFT PBE; values from VASP
&SYSTEM
  ibrav = 0, nat = 4, ntyp = 3
/
ATOMIC_SPECIES
Ta 180.95 Ta.upf
Ir 192.22 Ir.upf
Cl 35.45 Cl.upf
CELL_PARAMETERS angstrom
0.0000 3.2380 3.2380
3.2380 0.0000 3.2380
3.2380 3.2380 0.0000
ATOMIC_POSITIONS angstrom
Ta 0.0000 0.0000 0.0000
Ir 1.6190 1.6190 1.6190
Cl 3.2380 3.2380 3.2380
Cl 4.8570 4.8570 4.8570
! SG   F-43m

***

*two*
! TaIrCl2, relaxed, DFT PBE; values from VASP
&SYSTEM
  ibrav = 0, nat = 4, ntyp = 3
/
ATOMIC_SPECIES
Ta 180.95 Ta.upf
Ir 192.22 Ir.upf
Cl 35.45 Cl.upf
CELL_PARAMETERS angstrom
-1.9956 1.9956 4.2107
1.9956 -1.9956 4.2107
1.9956 1.9956 -4.2107
ATOMIC_POSITIONS angstrom
Ta 0.0000 0.0000 0.0000
Ir 0.0000 0.0000 4.2107
Cl 1.9956 0.0000 2.1054
Cl 0.0000 1.9956 2.1054
! SG   I4/mmm

***

*three*
! TaIrCl2, relaxed, DFT PBE; values from VASP
&SYSTEM
  ibrav = 0, nat = 4, ntyp = 3
/
ATOMIC_SPECIES
Ta 180.95 Ta.upf
Ir 192.22 Ir.upf
Cl 35.45 Cl.upf
CELL_PARAMETERS angstrom
-1.6398 3.0922 4.7436
1.6398 -3.0922 4.7436
1.6398 3.0922 -4.7436
ATOMIC_POSITIONS angstrom
Ta 0.0000 0.0000 0.0000
Ir 0.0000 3.0922 3.0492
Cl 1.6398 0.0000 2.0208
Cl 0.0000 0.0000 5.4626
! SG   Imm2

***

*four*
! TaIrCl2, relaxed, DFT PBE; values from VASP
&SYSTEM
  ibrav = 0, nat = 4, ntyp = 3
/
ATOMIC_SPECIES
Ta 180.95 Ta.upf
Ir 192.22 Ir.upf
Cl 35.45 Cl.upf
CELL_PARAMETERS angstrom
0.0000 3.1508 3.1508
3.1508 0.0000 3.1508
3.1508 3.1508 0.0000
ATOMIC_POSITIONS angstrom
Ta 0.0000 0.0000 0.0000
Ir 3.1508 3.1508 3.1508
Cl 1.5754 1.5754 1.5754
Cl 4.7261 4.7261 4.7261
! SG   Fm-3m

***

Most favorable structure: *three*. The second most favorable one is 27.9 kJ/mol of atoms above it.

***

*one*
! TaIrCl3, relaxed, DFT PBE; values from VASP
&SYSTEM
  ibrav = 0, nat = 5, ntyp = 3
/
ATOMIC_SPECIES
Ta 180.95 Ta.upf
Ir 192.22 Ir.upf
Cl 35.45 Cl.upf
CELL_PARAMETERS angstrom
4.7941 0.0000 0.0000
0.0000 4.7941 0.0000
0.0000 0.0000 4.7941
ATOMIC_POSITIONS angstrom
Ta 0.0000 0.0000 0.0000
Ir 2.3971 2.3971 2.3971
Cl 0.0000 2.3971 2.3971
Cl 2.3971 0.0000 2.3971
Cl 2.3971 2.3971 0.0000
! SG   Pm-3m

***

*two*
! TaIrCl3, relaxed, DFT PBE; values from VASP
&SYSTEM
  ibrav = 0, nat = 5, ntyp = 3
/
ATOMIC_SPECIES
Ta 180.95 Ta.upf
Ir 192.22 Ir.upf
Cl 35.45 Cl.upf
CELL_PARAMETERS angstrom
4.7912 0.0000 0.0000
0.0000 4.7912 0.0000
0.0000 0.0000 4.7912
ATOMIC_POSITIONS angstrom
Ta 0.0000 0.0000 0.0000
Ir 2.3956 2.3956 2.3956
Cl 0.0000 0.0000 2.3956
Cl 0.0000 2.3956 0.0000
Cl 2.3956 0.0000 0.0000
! SG   Pm-3m

***

Most favorable structure: *two*. The second most favorable one is 21.2 kJ/mol of atoms above it.